# MgHgAu | the Alexandria database | PBE | relaxed
data_MgHgAu
_chemical_formula_sum 'Mg4 Hg4 Au4'
_symmetry_space_group_name_H-M 'C 1 2/m 1'
_symmetry_Int_Tables_number 12
_cell_length_a 9.1802
_cell_length_b 3.3078
_cell_length_c 8.6260
_cell_angle_alpha 90.00
_cell_angle_beta 90.85
_cell_angle_gamma 90.00
loop_
_symmetry_equiv_pos_as_xyz
'x,y,z'
'-x,-y,-z'
'-x,y,-z'
'x,-y,z'
'x+1/2,y+1/2,z'
'-x+1/2,-y+1/2,-z'
'-x+1/2,y+1/2,-z'
'x+1/2,-y+1/2,z'
loop_
_atom_site_label
_atom_site_type_symbol
_atom_site_fract_x
_atom_site_fract_y
_atom_site_fract_z
Mg1 Mg 0.1405 0.0000 0.1016
Hg1 Hg 0.1329 0.0000 0.7590
Au1 Au 0.1372 0.0000 0.4179
# **Volume**: 21.8 A^3/atom
# **Energy relative to the elements**: -56 meV/atom
# **Distance to the lowest polymorph of the same formula**: 6.32 kcal/mol of atoms